Entry 1:
Compound: Mg5Cr3
Source: Alexandria
Functional: PBE
Structure: relaxed

Computed properties:
**V**: 20.7 Å³ per atom
**Offset from the most stable computed form**: 82.1 meV per atom

Lattice parameters (Å, degrees): 8.3060 8.3060 5.5390 90.00 90.00 120.03
Each line ends with the local moment (μB).
Sites, in units of the cell vectors:
Cr: 0.5976 0.0000 0.2500  3.69
Cr: 0.4024 0.9999 0.7500  3.69
Cr: 0.0000 0.5976 0.2500  3.69
Cr: 0.4025 0.4025 0.2500  3.69
Cr: 0.5975 0.5975 0.7500  3.69
Cr: 0.0000 0.4024 0.7500  3.69
Mg: 0.3334 0.6666 0.0000  -0.02
Mg: 0.6666 0.3334 0.5000  -0.02
Mg: 0.6666 0.3334 0.0000  -0.02
Mg: 0.3334 0.6666 0.5000  -0.02
Mg: 0.2431 0.0000 0.2500  -0.01
Mg: 0.7569 0.0000 0.7500  -0.01
Mg: 0.0000 0.2431 0.2500  -0.01
Mg: 0.7570 0.7570 0.2500  -0.01
Mg: 0.2430 0.2430 0.7500  -0.01
Mg: 0.0000 0.7569 0.7500  -0.01

Entry 2:
Compound: La2TcSe
Source: Alexandria
Functional: PBE
Structure: relaxed

Computed properties:
**V**: 26.3 Å³ per atom
**Energy relative to the elements, uncorrected**: -40.46 kJ per mole of atoms

Lattice parameters (Å, degrees): 7.7012 7.7012 6.5015 53.68 53.68 90.00
Sites, in units of the cell vectors:
Tc: 0.0000 0.0000 0.0000
Tc: 0.7500 0.2500 0.5000
Se: 0.5000 0.5000 0.0000
Se: 0.2500 0.7500 0.5000
La: 0.6700 0.1250 0.2500
La: 0.0800 0.6250 0.2500
La: 0.3750 0.3300 0.7500
La: 0.8750 0.9200 0.7500

Entry 3:
Compound: Pm2Dy6ErTm
Source: Alexandria
Functional: PBE
Structure: relaxed

Computed properties:
**V**: 32.2 Å³ per atom
**Raw total energy**: -4.499 eV/atom

Lattice parameters (Å, degrees): 9.6365 8.7515 8.7515 118.12 94.48 94.48
Sites, in units of the cell vectors:
Pm: 0.4573 0.8051 0.7014
Pm: 0.0427 0.2986 0.1949
Pm: 0.5427 0.1949 0.2986
Pm: 0.9573 0.7014 0.8051
Dy: 0.0569 0.1258 0.7477
Dy: 0.4431 0.2523 0.8742
Dy: 0.9431 0.8742 0.2523
Dy: 0.5569 0.7477 0.1258
Dy: 0.3126 0.9801 0.4251
Dy: 0.1874 0.5749 0.0199
Dy: 0.6874 0.0199 0.5749
Dy: 0.8126 0.4251 0.9801
Dy: 0.1196 0.7088 0.4981
Dy: 0.3804 0.5019 0.2912
Dy: 0.8804 0.2912 0.5019
Dy: 0.6196 0.4981 0.7088
Er: 0.2500 0.9809 0.0191
Er: 0.7500 0.0191 0.9809
Tm: 0.2500 0.4074 0.5926
Tm: 0.7500 0.5926 0.4074

Entry 4:
Compound: Er3Si2Ni3
Source: Alexandria
Functional: PBE
Structure: relaxed

Computed properties:
**V**: 17.7 Å³ per atom
**Energy relative to the elements, uncorrected**: -71.22 kJ per mole of atoms

Lattice parameters (Å, degrees): 5.4840 7.2257 14.2975 90.00 90.00 90.00
Sites, in units of the cell vectors:
Er: 0.1440 0.4733 0.3919
Er: 0.6440 0.0267 0.6081
Er: 0.8560 0.5267 0.8919
Er: 0.3560 0.9733 0.1081
Er: 0.8560 0.5267 0.6081
Er: 0.3560 0.9733 0.3919
Er: 0.1440 0.4733 0.1081
Er: 0.6440 0.0267 0.8919
Er: 0.6182 0.3370 0.2500
Er: 0.1182 0.1630 0.7500
Er: 0.3818 0.6630 0.7500
Er: 0.8818 0.8370 0.2500
Si: 0.8581 0.1280 0.3998
Si: 0.3581 0.3720 0.6002
Si: 0.1419 0.8720 0.8998
Si: 0.6419 0.6280 0.1002
Si: 0.1419 0.8720 0.6002
Si: 0.6419 0.6280 0.3998
Si: 0.8581 0.1280 0.1002
Si: 0.3581 0.3720 0.8998
Ni: 0.0859 0.1872 0.2500
Ni: 0.5859 0.3128 0.7500
Ni: 0.9141 0.8128 0.7500
Ni: 0.4141 0.6872 0.2500
Ni: 0.5930 0.3343 0.4645
Ni: 0.0930 0.1657 0.5355
Ni: 0.4070 0.6657 0.9645
Ni: 0.9070 0.8343 0.0355
Ni: 0.4070 0.6657 0.5355
Ni: 0.9070 0.8343 0.4645
Ni: 0.5930 0.3343 0.0355
Ni: 0.0930 0.1657 0.9645

Entry 5:
Compound: Nd3Ho4Tm4
Source: Alexandria
Functional: PBE
Structure: relaxed

Computed properties:
**V**: 32.6 Å³ per atom
**Offset from the most stable computed form**: 137.9 meV per atom

Lattice parameters (Å, degrees): 5.6709 6.6279 10.5560 90.00 90.00 115.33
Sites, in units of the cell vectors:
Nd: 0.4083 0.8166 0.2908
Nd: 0.4083 0.8166 0.7092
Nd: 0.2546 0.5092 0.0000
Ho: 0.7511 0.5022 0.7852
Ho: 0.7511 0.5022 0.2148
Ho: 0.8895 0.7790 0.5000
Ho: 0.9568 0.9135 0.0000
Tm: 0.6159 0.2317 0.5000
Tm: 0.5568 0.1137 0.0000
Tm: 0.1030 0.2061 0.7043
Tm: 0.1030 0.2061 0.2957